Entry from the Alexandria database: a relaxed PuTl2FeO6 crystal (PBE+U).

Results
**Calculated total energy**: -0.25676 hartree per atom
**Magnetization**: 6.18 μB per formula unit

a b c (Å): 8.2842 8.2842 8.2842
angles (deg): 90.00 90.00 90.00
Closest atoms and distances in Å follow each position.
Space group Fm-3m (No. 225)
Symmetry-distinct sites (fractional):
Pu 0.0000 0.0000 0.0000  6 O 2.06
Tl 0.2500 0.2500 0.2500  12 O 2.93
Fe 0.0000 0.0000 0.5000  6 O 2.08
O 0.0000 0.0000 0.2487  1 Pu 2.06, 1 Fe 2.08